Here is a relaxed structure of AsSe2Cl from the Alexandria database. Energies are from GGA-PBE.

Results
Spin magnetization (μB/cell): 0.00
Formation energy (no corrections) (meV per atom): -165

Cell lengths 3.9107, 5.3053, 6.2541 Å; angles 51.77, 90.00, 90.00 degrees
Fractional coordinates of all 4 atoms:
Se  0.0000  0.0325  0.0898
Se  0.0000  0.4675  0.4102
As  0.5000  0.2500  0.2500
Cl  0.5000  0.7500  0.7500



Here is a relaxed structure of PtO from the Alexandria database. Energies are from GGA-PBE.

Results
Spin magnetization (μB/cell): 0.00
Formation energy (no corrections) (meV per atom): 85

Cell lengths 7.5313, 7.5313, 4.0918 Å; angles 90.00, 90.00, 90.00 degrees
Fractional coordinates of all 16 atoms:
Pt  0.5837  0.7734  0.0000
Pt  0.4163  0.2266  0.0000
Pt  0.2266  0.5837  0.0000
Pt  0.7734  0.4163  0.0000
Pt  0.7266  0.0837  0.5000
Pt  0.0837  0.2734  0.5000
Pt  0.9163  0.7266  0.5000
Pt  0.2734  0.9163  0.5000
O  0.6822  0.1581  0.0000
O  0.3419  0.1822  0.5000
O  0.6581  0.8178  0.5000
O  0.1822  0.6581  0.5000
O  0.8419  0.6822  0.0000
O  0.1581  0.3178  0.0000
O  0.3178  0.8419  0.0000
O  0.8178  0.3419  0.5000